1.
Here is crystalline TmAlPdPt at its relaxed geometry from Alexandria via LeMat-Bulk. Energies are from PBE.

Cell lengths 4.6383, 4.6383, 4.6383 Å; angles 60.00, 60.00, 60.00 degrees
Positions (direct):
Pt: 0.7500 0.7500 0.7500
Al: 0.5000 0.5000 0.5000
Pd: 0.2500 0.2500 0.2500
Tm: 0.0000 0.0000 0.0000

## Properties
Magnetic moment   0.000 μB/cell
DFT formation energy   -1011 meV/atom
Symmetry   F-43m

=====

2.
Here is crystalline AcMgCu at its relaxed geometry from Alexandria via LeMat-Bulk. Energies are from PBE.

Cell lengths 4.3948, 5.7230, 6.9408 Å; angles 102.20, 108.46, 90.00 degrees
Positions (direct):
Cu: 0.2245 0.8692 0.4491
Cu: 0.7755 0.1308 0.5509
Mg: 0.4078 0.2129 0.8156
Mg: 0.5922 0.7871 0.1844
Ac: 0.1272 0.3046 0.2543
Ac: 0.8728 0.6954 0.7457

## Properties
Magnetic moment   0.000 μB/cell
DFT formation energy   -141 meV/atom
Symmetry   C2/m
Offset from the most stable computed form   2 meV/atom

=====

3.
Here is crystalline Ho6NiSe5 at its relaxed geometry from Alexandria via LeMat-Bulk. Energies are from PBE.

Cell lengths 7.0308, 7.0555, 7.0450 Å; angles 59.95, 80.27, 70.28 degrees
Positions (direct):
Ho: 0.7614 0.7690 0.0000
Ho: 0.2326 0.6139 0.3101
Ho: 0.2326 0.9240 0.6899
Ho: 0.7674 0.0760 0.3101
Ho: 0.2386 0.2310 0.0000
Ho: 0.7674 0.3861 0.6899
Se: 0.5000 0.1776 0.6447
Se: 0.5000 0.8224 0.3553
Se: 0.0000 0.3348 0.3303
Se: 0.5000 0.5000 0.0000
Se: 0.0000 0.6652 0.6697
Ni: 0.0000 0.0000 0.0000

## Properties
Magnetic moment   0.000 μB/cell
Symmetry   C2/m
Raw formation energy   -1796 kJ/mol of formula units

=====

4.
Here is crystalline Tb4MgHg at its relaxed geometry from Alexandria via LeMat-Bulk. Energies are from PBE.

Cell lengths 5.0912, 5.0921, 7.5517 Å; angles 89.99, 90.01, 90.00 degrees
Positions (direct):
Hg: 0.0013 0.9974 0.4982
Tb: 0.0013 0.4974 0.7377
Tb: 0.5013 0.9974 0.7376
Tb: 0.5013 0.9972 0.2587
Tb: 0.0012 0.4973 0.2587
Mg: 0.5014 0.4970 0.9980

## Properties
Magnetic moment   0.000 μB/cell
DFT formation energy   146 meV/atom
Symmetry   P4/mmm

=====

no.,total DFT energy (no corrections) (eV per atom)
1,-5.87
2,-3.41
3,-5.77
4,-3.26